Density functional theory data (PBE-GGA) for a relaxed structure of LaBAsBr2.

Cell: 5.7956 5.7956 6.0725 Å, 90.00 90.00 90.00°
Atoms (fractional coordinates):
La (0.0000, 0.0000, 0.0000)
B (0.5000, 0.5000, 0.5000)
As (0.0000, 0.0000, 0.5000)
Br (0.0000, 0.5000, 0.0000)
Br (0.5000, 0.0000, 0.0000)

- Size of the total moment: 1.0 μB per formula unit
- Polymorph energy (0 for the lowest one): 520 meV/atom
- SG: P4/mmm (123)
- Uncorrected formation energy: 0.3307 eV per atom
- Calculated total energy: -17.95 eV per cell


Density functional theory data (PBE-GGA) for a relaxed structure of YBeFe2.

Cell: 4.8231 4.8231 4.8231 Å, 139.97 123.08 71.85°
Atoms (fractional coordinates):
Y (0.0000, 0.0000, 0.0000)
Be (0.5000, 0.5000, 0.0000)
Fe (0.2911, 0.7911, 0.5000)
Fe (0.7089, 0.2089, 0.5000)

- Size of the total moment: 4.0 μB per formula unit
- Formation enthalpy at 0 K: 0.32 eV/atom
- SG: Immm (71)
- Calculated total energy: -25.85 eV per cell


Q: What is the size of the total moment in the second record?
A: 4.0 μB per formula unit